[1]
Entry from Alexandria: a geometry-optimized CaLa2Fe structure (PBEsol).

Cell: 3.4934 3.4934 9.5979 Å, 90.00 90.00 90.00°
Element x y z (fractional)
Ca: 0.5000 0.5000 0.0000
Fe: 0.5000 0.5000 0.5000
La: 0.0000 0.0000 0.6699
La: 0.0000 0.0000 0.3301

Computed properties:
Its calculated formation energy is 169 meV/atom.


[2]
Entry from Alexandria: a geometry-optimized CaLaMnFeO6 structure (PBEsol).

Cell: 5.3724 5.3751 7.5892 Å, 90.00 89.99 90.00°
Element x y z (fractional)
Ca: 0.4931 0.2844 0.2500
Ca: 0.9931 0.7156 0.7500
La: 0.0041 0.7732 0.2500
La: 0.5041 0.2268 0.7500
Mn: 0.5002 0.7503 0.9995
Mn: 0.0002 0.2497 0.4995
Fe: 0.0001 0.2495 0.0005
Fe: 0.5001 0.7505 0.5005
O: 0.4328 0.7572 0.7524
O: 0.9328 0.2428 0.2524
O: 0.7796 0.9656 0.9644
O: 0.2795 0.0344 0.4644
O: 0.7847 0.9706 0.5355
O: 0.2846 0.0294 0.0355
O: 0.0565 0.2608 0.7476
O: 0.5565 0.7392 0.2476
O: 0.7269 0.4714 0.5301
O: 0.2268 0.5286 0.0301
O: 0.7221 0.4761 0.9699
O: 0.2221 0.5239 0.4699

Computed properties:
Its uncorrected formation energy is -2.39 eV per atom.


[3]
Entry from Alexandria: a geometry-optimized CaLaFeO4 structure (PBEsol).

Cell: 3.7334 3.7334 6.6239 Å, 106.37 106.37 90.00°
Element x y z (fractional)
Ca: 0.3608 0.3608 0.7216
Fe: 0.9962 0.9962 0.9924
O: 0.1701 0.1701 0.3401
O: 0.8310 0.8310 0.6620
O: 0.9992 0.4992 0.9983
O: 0.4992 0.9992 0.9983
La: 0.6436 0.6436 0.2872

Computed properties:
Its uncorrected formation energy is -2.58 eV per atom.


[4]
Entry from Alexandria: a geometry-optimized CaLaFeSnO6 structure (PBEsol).

Cell: 5.4627 5.5421 7.7560 Å, 90.00 89.44 90.00°
Element x y z (fractional)
Ca: 0.5131 0.2004 0.2516
Ca: 0.0131 0.7996 0.7516
La: 0.9898 0.7110 0.2493
La: 0.4898 0.2890 0.7493
Fe: 0.4994 0.7493 0.5003
Fe: 0.9994 0.2507 0.0003
Sn: 0.9999 0.2496 0.4989
Sn: 0.4999 0.7504 0.9989
O: 0.5918 0.7302 0.7404
O: 0.0918 0.2698 0.2404
O: 0.1955 0.5358 0.9516
O: 0.6955 0.4642 0.4516
O: 0.2143 0.5506 0.5475
O: 0.7143 0.4494 0.0475
O: 0.9190 0.2245 0.7589
O: 0.4190 0.7755 0.2589
O: 0.2981 0.0296 0.5448
O: 0.7981 0.9704 0.0448
O: 0.2789 0.0455 0.9568
O: 0.7789 0.9545 0.4568

Computed properties:
Its uncorrected formation energy is -2.27 eV per atom.


[5]
Entry from Alexandria: a geometry-optimized CaLaVFeO6 structure (PBEsol).

Cell: 5.3927 5.4530 7.6312 Å, 90.00 90.10 90.00°
Element x y z (fractional)
Ca: 0.5088 0.2049 0.2501
Ca: 0.0088 0.7951 0.7501
La: 0.9943 0.7183 0.2493
La: 0.4943 0.2817 0.7493
V: 0.4997 0.7497 0.9986
V: 0.9997 0.2503 0.4986
Fe: 0.9996 0.2510 0.0006
Fe: 0.4996 0.7490 0.5006
O: 0.5761 0.7370 0.7577
O: 0.0761 0.2630 0.2577
O: 0.2181 0.5482 0.9609
O: 0.7181 0.4518 0.4609
O: 0.2008 0.5309 0.5407
O: 0.7008 0.4691 0.0407
O: 0.9354 0.2337 0.7431
O: 0.4354 0.7663 0.2431
O: 0.2765 0.0401 0.5343
O: 0.7765 0.9599 0.0343
O: 0.2925 0.0282 0.9654
O: 0.7925 0.9718 0.4654

Computed properties:
Its uncorrected formation energy is -2.62 eV per atom.


[6]
Entry from Alexandria: a geometry-optimized LiCaFe2 structure (PBEsol).

Cell: 3.0894 4.2318 5.3480 Å, 113.33 106.79 90.00°
Element x y z (fractional)
Ca: 0.5000 0.0000 0.0000
Fe: 0.2645 0.2639 0.5290
Fe: 0.7355 0.7361 0.4710
Li: 0.0000 0.5000 0.0000

Computed properties:
Its calculated formation energy is 597 meV/atom.


[7]
Entry from Alexandria: a geometry-optimized LiCa3Fe structure (PBEsol).

Cell: 5.4933 5.4933 5.4933 Å, 90.00 90.00 90.00°
Element x y z (fractional)
Ca: 0.0000 0.5000 0.0000
Ca: 0.0000 0.0000 0.5000
Ca: 0.5000 0.0000 0.0000
Fe: 0.5000 0.5000 0.5000
Li: 0.0000 0.0000 0.0000

Computed properties:
Its calculated formation energy is 910 meV/atom.


[8]
Entry from Alexandria: a geometry-optimized LiCaFe2 structure (PBEsol).

Cell: 3.1896 4.1411 4.6153 Å, 90.00 90.00 90.00°
Element x y z (fractional)
Ca: 0.0000 0.5000 0.5000
Fe: 0.0000 0.0000 0.0000
Fe: 0.5000 0.5000 0.0000
Li: 0.5000 0.0000 0.5000

Computed properties:
Its calculated formation energy is 617 meV/atom.


[9]
Entry from Alexandria: a geometry-optimized LiCa2MgFe structure (PBEsol).

Cell: 4.8823 5.3699 5.3699 Å, 90.00 90.00 90.00°
Element x y z (fractional)
Mg: 0.5000 0.0000 0.0000
Ca: 0.0000 0.0000 0.5000
Ca: 0.0000 0.5000 0.0000
Fe: 0.5000 0.5000 0.5000
Li: 0.0000 0.0000 0.0000

Computed properties:
Its calculated formation energy is 856 meV/atom.


[10]
Entry from Alexandria: a geometry-optimized LiCa2FeN2 structure (PBEsol).

Cell: 5.2765 5.2765 6.6090 Å, 90.00 90.00 90.00°
Element x y z (fractional)
Li: 0.0000 0.0000 0.5000
Li: 0.5000 0.5000 0.0000
Ca: 0.0000 0.5000 0.2500
Ca: 0.0000 0.5000 0.7500
Ca: 0.5000 0.0000 0.2500
Ca: 0.5000 0.0000 0.7500
Fe: 0.0000 0.0000 0.0000
Fe: 0.5000 0.5000 0.5000
N: 0.2412 0.2412 0.0000
N: 0.7588 0.7588 0.0000
N: 0.2588 0.7412 0.5000
N: 0.7412 0.2588 0.5000

Computed properties:
Its uncorrected formation energy is -0.66 eV per atom.


[11]
Entry from Alexandria: a geometry-optimized LiCa2FePd structure (PBEsol).

Cell: 4.5880 5.2929 5.2929 Å, 90.00 90.00 90.00°
Element x y z (fractional)
Ca: 0.0000 0.0000 0.5000
Ca: 0.0000 0.5000 0.0000
Fe: 0.0000 0.0000 0.0000
Pd: 0.5000 0.0000 0.0000
Li: 0.5000 0.5000 0.5000

Computed properties:
Its calculated formation energy is 324 meV/atom.


[12]
Entry from Alexandria: a geometry-optimized LiCaFeS2 structure (PBEsol).

Cell: 3.9998 4.6299 4.6299 Å, 90.00 90.00 90.00°
Element x y z (fractional)
S: 0.0000 0.0000 0.5000
S: 0.0000 0.5000 0.0000
Ca: 0.5000 0.5000 0.5000
Fe: 0.5000 0.0000 0.0000
Li: 0.0000 0.0000 0.0000

Computed properties:
Its uncorrected formation energy is -0.23 eV per atom.


no.,magnetization (μB per cell),total DFT energy (no corrections) (eV per cell),density of states at the Fermi level (states/eV/f.u.)
1,1.07,-21.1,4.966
2,14.75,-163.3,3.085
3,2.60,-55.5,2.561
4,1.97,-149.8,7.754
5,8.01,-167.6,1.996
6,4.40,-19.6,3.269
7,2.35,-12.8,10.012
8,4.21,-19.6,3.987
9,2.64,-12.6,8.512
10,6.03,-72.4,0.201
11,2.17,-19.5,3.397
12,3.35,-23.0,3.472